A geometry-optimized HgRu2Pt structure. Source: Alexandria via LeMat-Bulk, functional PBE-GGA.

Output
Fermi-level density of states, states/eV per cell: 9.51
Formation energy from the elements, eV per atom: 0.3700

a b c (Å): 9.204 2.815 5.042
angles (deg): 90.00 99.76 90.00
Space group C2/m (No. 12)
One atom of each set of equivalent atoms:
Hg 0.000 0.000 0.000
Ru 0.243 0.000 0.719
Pt 0.000 0.500 0.500

***

A geometry-optimized Zr2AlPb structure. Source: Alexandria via LeMat-Bulk, functional PBE-GGA.

Output
Fermi-level density of states, states/eV per cell: 2.51
Formation energy from the elements, eV per atom: -0.2403

a b c (Å): 3.182 4.315 6.313
angles (deg): 90.00 92.99 90.00
Space group P2/m (No. 10)
One atom of each set of equivalent atoms:
Zr 0.010 0.000 0.263
Al 0.500 0.500 0.500
Pb 0.500 0.500 0.000

***

A geometry-optimized BeCoTc2 structure. Source: Alexandria via LeMat-Bulk, functional PBE-GGA.

Output
Energy relative to the lowest polymorph listed for this composition, meV/atom: 87.2
Fermi-level density of states, states/eV per cell: 6.07
Formation energy from the elements, eV per atom: 0.0256

a b c (Å): 3.558 3.558 7.700
angles (deg): 90.00 90.00 90.00
Space group I4/mmm (No. 139)
One atom of each set of equivalent atoms:
Be 0.000 0.000 0.000
Co 0.000 0.000 0.500
Tc 0.000 0.500 0.250

***

A geometry-optimized Ca3SnHg7 structure. Source: Alexandria via LeMat-Bulk, functional PBE-GGA.

Output
Fermi-level density of states, states/eV per cell: 17.25
Formation energy from the elements, eV per atom: -0.3325

a b c (Å): 4.010 24.890 12.107
angles (deg): 90.00 90.00 90.00
Space group Cmcm (No. 63)
One atom of each set of equivalent atoms:
Ca 0.000 0.083 0.030
Ca 0.000 0.211 0.750
Sn 0.000 0.079 0.750
Hg 0.000 0.204 0.124
Hg 0.000 0.322 0.055
Hg 0.000 0.385 0.750
Hg 0.000 0.494 0.126

***

A geometry-optimized RbTlSnS3 structure. Source: Alexandria via LeMat-Bulk, functional PBE-GGA.

Output
Fermi-level density of states, states/eV per cell: 0.00
Raw total energy, eV per atom: -3.8762

a b c (Å): 9.470 9.508 10.168
angles (deg): 90.00 102.62 90.00
Space group C2/m (No. 12)
One atom of each set of equivalent atoms:
Rb 0.224 0.000 0.081
Tl 0.000 0.322 0.500
Sn 0.049 0.000 0.681
S 0.058 0.210 0.804
S 0.187 0.000 0.498

***

A geometry-optimized BePt2Se structure. Source: Alexandria via LeMat-Bulk, functional PBE-GGA.

Output
Energy relative to the lowest polymorph listed for this composition, meV/atom: 44.5
Fermi-level density of states, states/eV per cell: 2.86

a b c (Å): 12.873 3.355 2.977
angles (deg): 90.00 103.24 90.00
Space group Cm (No. 8)
One atom of each set of equivalent atoms:
Be 0.000 0.000 0.000
Pt 0.070 0.500 0.569
Pt 0.377 0.000 0.877
Se 0.242 0.500 0.241

***

A geometry-optimized Pm3GeC structure. Source: Alexandria via LeMat-Bulk, functional PBE-GGA.

Output
Energy relative to the lowest polymorph listed for this composition, meV/atom: 0.0
Fermi-level density of states, states/eV per cell: 11.28
Formation energy from the elements, eV per atom: -0.4613

a b c (Å): 8.276 3.965 14.433
angles (deg): 90.00 90.00 90.00
Space group Pnma (No. 62)
One atom of each set of equivalent atoms:
Pm 0.023 0.250 0.102
Pm 0.164 0.250 0.507
Pm 0.199 0.750 0.292
Ge 0.087 0.750 0.673
C 0.162 0.250 0.940

***

A geometry-optimized LiSc5Pd4 structure. Source: Alexandria via LeMat-Bulk, functional PBE-GGA.

Output
Fermi-level density of states, states/eV per cell: 9.19
Formation energy from the elements, eV per atom: -0.6823

a b c (Å): 3.328 3.328 16.761
angles (deg): 90.00 90.00 90.00
Space group P4/mmm (No. 123)
One atom of each set of equivalent atoms:
Li 0.000 0.000 0.000
Sc 0.500 0.500 0.108
Sc 0.500 0.500 0.303
Sc 0.500 0.500 0.500
Pd 0.000 0.000 0.202
Pd 0.000 0.000 0.401

***

A geometry-optimized LiTcAs2 structure. Source: Alexandria via LeMat-Bulk, functional PBE-GGA.

Output
Energy relative to the lowest polymorph listed for this composition, meV/atom: 363.7
Fermi-level density of states, states/eV per cell: 6.84
Formation energy from the elements, eV per atom: 0.0187

a b c (Å): 3.718 3.718 8.885
angles (deg): 90.00 90.00 90.00
Space group I-4m2 (No. 119)
One atom of each set of equivalent atoms:
Li 0.000 0.000 0.000
Tc 0.000 0.500 0.750
As 0.000 0.000 0.500
As 0.000 0.500 0.250

***

A geometry-optimized SrPBr2 structure. Source: Alexandria via LeMat-Bulk, functional PBE-GGA.

Output
Energy relative to the lowest polymorph listed for this composition, meV/atom: 418.7
Fermi-level density of states, states/eV per cell: 0.67

a b c (Å): 7.751 7.751 7.751
angles (deg): 90.00 90.00 90.00
Space group F-43m (No. 216)
One atom of each set of equivalent atoms:
Sr 0.000 0.000 0.000
P 0.250 0.250 0.250
Br 0.000 0.000 0.500
Br 0.250 0.250 0.750

***

A geometry-optimized FeGeH2 structure. Source: Alexandria via LeMat-Bulk, functional PBE-GGA.

Output
Energy relative to the lowest polymorph listed for this composition, meV/atom: 0.0
Fermi-level density of states, states/eV per cell: 6.62

a b c (Å): 3.527 3.527 10.904
angles (deg): 90.00 90.00 90.00
Space group I-42d (No. 122)
One atom of each set of equivalent atoms:
Fe 0.000 0.000 0.000
Ge 0.000 0.000 0.500
H 0.068 0.250 0.125

***

A geometry-optimized RbIn2Te2 structure. Source: Alexandria via LeMat-Bulk, functional PBE-GGA.

Output
Energy relative to the lowest polymorph listed for this composition, meV/atom: 108.9
Fermi-level density of states, states/eV per cell: 5.32

a b c (Å): 4.979 4.979 15.615
angles (deg): 90.00 90.00 90.00
Space group I4/mmm (No. 139)
One atom of each set of equivalent atoms:
Rb 0.000 0.000 0.000
In 0.000 0.500 0.250
Te 0.000 0.000 0.391